Sr2PaRhO8 | Alexandria via LeMat-Bulk | PBE | optimized geometry; total magnetization = 0.0 μB/cell; raw formation energy = -2133 meV per atom; symmetry = P2/m, No. 10
1.0
-0.562 2.175 -3.919
-4.766 1.672 2.228
3.174 5.549 2.625
O Pa Sr Rh
8 1 2 1
Direct
0.943 0.229 0.777 O
0.580 0.897 0.000 O
0.057 0.771 0.223 O
0.395 0.223 0.500 O
0.943 0.229 0.223 O
0.605 0.777 0.500 O
0.057 0.771 0.777 O
0.420 0.103 0.000 O
0.000 0.000 0.500 Pa
0.500 0.500 0.759 Sr
0.500 0.500 0.241 Sr
0.000 0.000 0.000 Rh